Computed, not measured: a relaxed Pa2CoTe3 crystal at the GGA-PBE level of DFT.

Unit cell a=4.1552 b=12.3255 c=12.1824 alpha=90.00 beta=90.00 gamma=90.00
With the nearest neighbours (Å) after each atom.
Fractional coordinates of all 24 atoms:
Pa (0.2500, 0.0160, 0.2861)  1 Co 2.60
Te (0.7500, 0.2065, 0.3051)  2 Co 2.63
Pa (0.7500, 0.5160, 0.2139)  1 Co 2.60
Te (0.2500, 0.1163, 0.5621)  1 Co 2.69
Co (0.2500, 0.3043, 0.6738)  3 Pa 2.60-2.62, 3 Te 2.63-2.69
Te (0.2500, 0.7935, 0.6949)  2 Co 2.63
Pa (0.2500, 0.4840, 0.7861)  1 Co 2.60
Te (0.7500, 0.6163, 0.9379)  1 Co 2.69
Pa (0.7500, 0.3191, 0.5440)  2 Co 2.62
Pa (0.2500, 0.6809, 0.4560)  2 Co 2.62
Te (0.2500, 0.0612, 0.8871)  5 Pa 3.10-3.19
Te (0.2500, 0.4388, 0.3871)  5 Pa 3.10-3.19
Pa (0.2500, 0.8191, 0.9560)  2 Co 2.62
Te (0.7500, 0.5612, 0.6129)  5 Pa 3.10-3.19
Te (0.2500, 0.7065, 0.1949)  2 Co 2.63
Co (0.7500, 0.6957, 0.3262)  3 Pa 2.60-2.62, 3 Te 2.63-2.69
Co (0.2500, 0.1957, 0.1737)  3 Pa 2.60-2.62, 3 Te 2.63-2.69
Pa (0.7500, 0.9840, 0.7139)  1 Co 2.60
Te (0.7500, 0.9388, 0.1129)  5 Pa 3.10-3.19
Te (0.7500, 0.2935, 0.8051)  2 Co 2.63
Te (0.7500, 0.8837, 0.4379)  1 Co 2.69
Te (0.2500, 0.3837, 0.0621)  1 Co 2.69
Co (0.7500, 0.8043, 0.8262)  3 Pa 2.60-2.62, 3 Te 2.63-2.69
Pa (0.7500, 0.1809, 0.0440)  2 Co 2.62

- Formation energy (no corrections): -0.728 eV/atom
- ρ: 9.6 g cm⁻³
- Electronic total energy: -6.6485 eV/atom

---

Computed, not measured: a relaxed PaCoTe4 crystal at the GGA-PBE level of DFT.

Unit cell a=6.7604 b=6.9514 c=7.2297 alpha=90.00 beta=99.29 gamma=90.00
With the nearest neighbours (Å) after each atom.
Fractional coordinates of all 12 atoms:
Co (0.0000, 0.5000, 0.5000)  2 Te 2.44
Pa (0.0000, 0.0000, 0.0000)  4 Te 2.91-3.03
Te (0.7368, 0.7107, 0.6733)  2 Co 2.74-2.76
Te (0.3915, 0.8371, 0.2015)  1 Co 2.44
Te (0.7632, 0.2107, 0.3267)  2 Co 2.74-2.76
Te (0.2632, 0.2893, 0.3267)  2 Co 2.74-2.76
Te (0.2368, 0.7893, 0.6733)  2 Co 2.74-2.76
Te (0.6085, 0.1629, 0.7985)  1 Co 2.44
Te (0.8915, 0.6629, 0.2015)  1 Co 2.44
Co (0.5000, 0.0000, 0.5000)  2 Te 2.44
Te (0.1085, 0.3371, 0.7985)  1 Co 2.44
Pa (0.5000, 0.5000, 0.0000)  4 Te 2.91-3.03

- Formation energy (no corrections): -0.317 eV/atom
- ρ: 7.9 g cm⁻³
- Electronic total energy: -5.1789 eV/atom

---

Computed, not measured: a relaxed PaCoTe crystal at the GGA-PBE level of DFT.

Unit cell a=4.3234 b=4.1175 c=4.1175 alpha=120.00 beta=90.00 gamma=90.00
With the nearest neighbours (Å) after each atom.
Fractional coordinates of all 3 atoms:
Pa (0.6052, 0.6667, 0.3333)  3 Co 2.72
Te (0.0949, 0.0000, 0.0000)  3 Co 2.54
Co (0.2999, 0.3333, 0.6667)  3 Te 2.54, 3 Pa 2.72

- Energy relative to the lowest polymorph listed for this composition: 0.0 meV/atom
- Formation energy (no corrections): -0.579 eV/atom
- ρ: 10.9 g cm⁻³
- Electronic total energy: -7.1605 eV/atom

---

Number 3 is which compound?
PaCoTe

---

Among the records above, which one has the highest ρ?
PaCoTe